[1]
The following is a DFT calculation (PBE) of a relaxed TcAgTeI2 crystal.

```
data_TcAgTeI2
_chemical_formula_sum 'Tc1 Ag1 Te1 I2'
_cell_length_a 5.689
_cell_length_b 5.689
_cell_length_c 5.018
_cell_angle_alpha 90.00
_cell_angle_beta 90.00
_cell_angle_gamma 90.00
_symmetry_space_group_name_H-M 'P 1'
_symmetry_Int_Tables_number 1
loop_
_symmetry_equiv_pos_as_xyz
'x,y,z'
loop_
_atom_site_label
_atom_site_type_symbol
_atom_site_fract_x
_atom_site_fract_y
_atom_site_fract_z
_atom_site_occupancy
Tc1 Tc 0.000 0.000 0.000 1
Ag1 Ag 0.500 0.500 0.500 1
Te1 Te 0.000 0.000 0.500 1
I1 I 0.000 0.500 0.000 1
I2 I 0.500 0.000 0.000 1
```

Relative energy among the computed polymorphs in eV/f.u.: 0.00

[2]
The following is a DFT calculation (PBE) of a relaxed TcAgTe2I crystal.

```
data_TcAgTe2I
_chemical_formula_sum 'Tc1 Ag1 Te2 I1'
_cell_length_a 5.108
_cell_length_b 5.108
_cell_length_c 5.936
_cell_angle_alpha 90.00
_cell_angle_beta 90.00
_cell_angle_gamma 90.00
_symmetry_space_group_name_H-M 'P 1'
_symmetry_Int_Tables_number 1
loop_
_symmetry_equiv_pos_as_xyz
'x,y,z'
loop_
_atom_site_label
_atom_site_type_symbol
_atom_site_fract_x
_atom_site_fract_y
_atom_site_fract_z
_atom_site_occupancy
Tc1 Tc 0.000 0.000 0.000 1
Ag1 Ag 0.500 0.500 0.500 1
Te1 Te 0.000 0.500 0.000 1
Te2 Te 0.500 0.000 0.000 1
I1 I 0.000 0.000 0.500 1
```

Relative energy among the computed polymorphs in eV/f.u.: 0.00

[3]
The following is a DFT calculation (PBE) of a relaxed TiTc2AgI crystal.

```
data_TiTc2AgI
_chemical_formula_sum 'Ti1 Tc2 Ag1 I1'
_cell_length_a 5.044
_cell_length_b 5.044
_cell_length_c 4.978
_cell_angle_alpha 90.00
_cell_angle_beta 90.00
_cell_angle_gamma 90.00
_symmetry_space_group_name_H-M 'P 1'
_symmetry_Int_Tables_number 1
loop_
_symmetry_equiv_pos_as_xyz
'x,y,z'
loop_
_atom_site_label
_atom_site_type_symbol
_atom_site_fract_x
_atom_site_fract_y
_atom_site_fract_z
_atom_site_occupancy
Ti1 Ti 0.000 0.000 0.000 1
Tc1 Tc 0.000 0.500 0.500 1
Tc2 Tc 0.500 0.000 0.500 1
Ag1 Ag 0.000 0.000 0.500 1
I1 I 0.500 0.500 0.000 1
```

[4]
The following is a DFT calculation (PBE) of a relaxed TlTcAgI6 crystal.

```
data_TlTcAgI6
_chemical_formula_sum 'Tl2 Tc2 Ag2 I12'
_cell_length_a 7.628
_cell_length_b 7.628
_cell_length_c 14.548
_cell_angle_alpha 90.00
_cell_angle_beta 90.00
_cell_angle_gamma 120.00
_symmetry_space_group_name_H-M 'P 1'
_symmetry_Int_Tables_number 1
loop_
_symmetry_equiv_pos_as_xyz
'x,y,z'
loop_
_atom_site_label
_atom_site_type_symbol
_atom_site_fract_x
_atom_site_fract_y
_atom_site_fract_z
_atom_site_occupancy
Tl1 Tl 0.000 0.000 0.000 1
Tl2 Tl 0.000 0.000 0.500 1
Tc1 Tc 0.333 0.667 0.250 1
Tc2 Tc 0.667 0.333 0.750 1
Ag1 Ag 0.333 0.667 0.750 1
Ag2 Ag 0.667 0.333 0.250 1
I1 I 0.029 0.386 0.140 1
I2 I 0.029 0.643 0.360 1
I3 I 0.357 0.386 0.360 1
I4 I 0.357 0.971 0.140 1
I5 I 0.386 0.029 0.640 1
I6 I 0.386 0.357 0.860 1
I7 I 0.614 0.643 0.140 1
I8 I 0.614 0.971 0.360 1
I9 I 0.643 0.029 0.860 1
I10 I 0.643 0.614 0.640 1
I11 I 0.971 0.357 0.640 1
I12 I 0.971 0.614 0.860 1
```

[5]
The following is a DFT calculation (PBE) of a relaxed YTcAg2I crystal.

```
data_YTcAg2I
_chemical_formula_sum 'Y1 Tc1 Ag2 I1'
_cell_length_a 5.159
_cell_length_b 5.159
_cell_length_c 4.985
_cell_angle_alpha 90.00
_cell_angle_beta 90.00
_cell_angle_gamma 90.00
_symmetry_space_group_name_H-M 'P 1'
_symmetry_Int_Tables_number 1
loop_
_symmetry_equiv_pos_as_xyz
'x,y,z'
loop_
_atom_site_label
_atom_site_type_symbol
_atom_site_fract_x
_atom_site_fract_y
_atom_site_fract_z
_atom_site_occupancy
Y1 Y 0.000 0.000 0.000 1
Tc1 Tc 0.500 0.500 0.500 1
Ag1 Ag 0.000 0.500 0.500 1
Ag2 Ag 0.500 0.000 0.500 1
I1 I 0.500 0.500 0.000 1
```

[6]
The following is a DFT calculation (PBE) of a relaxed Zn2TcAgI crystal.

```
data_Zn2TcAgI
_chemical_formula_sum 'Zn2 Tc1 Ag1 I1'
_cell_length_a 5.368
_cell_length_b 5.368
_cell_length_c 5.350
_cell_angle_alpha 90.00
_cell_angle_beta 90.00
_cell_angle_gamma 90.00
_symmetry_space_group_name_H-M 'P 1'
_symmetry_Int_Tables_number 1
loop_
_symmetry_equiv_pos_as_xyz
'x,y,z'
loop_
_atom_site_label
_atom_site_type_symbol
_atom_site_fract_x
_atom_site_fract_y
_atom_site_fract_z
_atom_site_occupancy
Zn1 Zn 0.000 0.500 0.000 1
Zn2 Zn 0.500 0.000 0.000 1
Tc1 Tc 0.000 0.000 0.500 1
Ag1 Ag 0.500 0.500 0.500 1
I1 I 0.500 0.500 0.000 1
```

[7]
The following is a DFT calculation (PBE) of a relaxed Ag5Te2I2 crystal.

```
data_Ag5Te2I2
_chemical_formula_sum 'Ag10 Te4 I4'
_cell_length_a 10.936
_cell_length_b 10.936
_cell_length_c 10.936
_cell_angle_alpha 58.62
_cell_angle_beta 139.58
_cell_angle_gamma 139.41
_symmetry_space_group_name_H-M 'P 1'
_symmetry_Int_Tables_number 1
loop_
_symmetry_equiv_pos_as_xyz
'x,y,z'
loop_
_atom_site_label
_atom_site_type_symbol
_atom_site_fract_x
_atom_site_fract_y
_atom_site_fract_z
_atom_site_occupancy
Ag1 Ag 0.061 0.277 0.032 1
Ag2 Ag 0.061 0.528 0.283 1
Ag3 Ag 0.178 0.027 0.205 1
Ag4 Ag 0.178 0.473 0.651 1
Ag5 Ag 0.245 0.028 0.968 1
Ag6 Ag 0.245 0.777 0.717 1
Ag7 Ag 0.481 0.368 0.613 1
Ag8 Ag 0.755 0.868 0.387 1
Ag9 Ag 0.822 0.527 0.349 1
Ag10 Ag 0.822 0.973 0.795 1
Te1 Te 0.235 0.025 0.710 1
Te2 Te 0.314 0.525 0.290 1
Te3 Te 0.335 0.335 0.000 1
Te4 Te 0.335 0.835 0.500 1
I1 I 0.738 0.144 0.341 1
I2 I 0.738 0.898 0.094 1
I3 I 0.804 0.398 0.659 1
I4 I 0.804 0.644 0.906 1
```

Relative energy among the computed polymorphs in eV/f.u.: 0.53

[8]
The following is a DFT calculation (PBE) of a relaxed AgTeI crystal.

```
data_AgTeI
_chemical_formula_sum 'Ag2 Te2 I2'
_cell_length_a 4.143
_cell_length_b 4.148
_cell_length_c 12.076
_cell_angle_alpha 87.02
_cell_angle_beta 88.42
_cell_angle_gamma 89.90
_symmetry_space_group_name_H-M 'P 1'
_symmetry_Int_Tables_number 1
loop_
_symmetry_equiv_pos_as_xyz
'x,y,z'
loop_
_atom_site_label
_atom_site_type_symbol
_atom_site_fract_x
_atom_site_fract_y
_atom_site_fract_z
_atom_site_occupancy
Ag1 Ag 0.243 0.329 0.081 1
Ag2 Ag 0.757 0.671 0.919 1
Te1 Te 0.235 0.238 0.463 1
Te2 Te 0.765 0.762 0.537 1
I1 I 0.264 0.206 0.845 1
I2 I 0.736 0.794 0.155 1
```

[9]
The following is a DFT calculation (PBE) of a relaxed AgTe2I6 crystal.

```
data_AgTe2I6
_chemical_formula_sum 'Ag1 Te2 I6'
_cell_length_a 4.399
_cell_length_b 9.551
_cell_length_c 9.933
_cell_angle_alpha 63.03
_cell_angle_beta 87.49
_cell_angle_gamma 84.14
_symmetry_space_group_name_H-M 'P 1'
_symmetry_Int_Tables_number 1
loop_
_symmetry_equiv_pos_as_xyz
'x,y,z'
loop_
_atom_site_label
_atom_site_type_symbol
_atom_site_fract_x
_atom_site_fract_y
_atom_site_fract_z
_atom_site_occupancy
Ag1 Ag 0.000 0.000 0.000 1
Te1 Te 0.217 0.465 0.867 1
Te2 Te 0.783 0.535 0.133 1
I1 I 0.074 0.316 0.693 1
I2 I 0.074 0.766 0.601 1
I3 I 0.435 0.141 0.109 1
I4 I 0.565 0.859 0.891 1
I5 I 0.926 0.234 0.399 1
I6 I 0.926 0.684 0.307 1
```

Relative energy among the computed polymorphs in eV/f.u.: 0.33

[10]
The following is a DFT calculation (PBE) of a relaxed Ag2TeI6 crystal.

```
data_Ag2TeI6
_chemical_formula_sum 'Ag2 Te1 I6'
_cell_length_a 8.705
_cell_length_b 8.705
_cell_length_c 7.776
_cell_angle_alpha 90.00
_cell_angle_beta 90.00
_cell_angle_gamma 120.00
_symmetry_space_group_name_H-M 'P 1'
_symmetry_Int_Tables_number 1
loop_
_symmetry_equiv_pos_as_xyz
'x,y,z'
loop_
_atom_site_label
_atom_site_type_symbol
_atom_site_fract_x
_atom_site_fract_y
_atom_site_fract_z
_atom_site_occupancy
Ag1 Ag 0.333 0.667 0.137 1
Ag2 Ag 0.667 0.333 0.863 1
Te1 Te 0.000 0.000 0.000 1
I1 I 0.157 0.313 0.236 1
I2 I 0.157 0.843 0.236 1
I3 I 0.313 0.157 0.764 1
I4 I 0.687 0.843 0.236 1
I5 I 0.843 0.157 0.764 1
I6 I 0.843 0.687 0.764 1
```

Relative energy among the computed polymorphs in eV/f.u.: 0.35

no.,ΔE_f (raw) (eV per atom)
1,0.534
2,0.531
3,1.792
4,-0.211
5,0.713
6,1.675
7,-0.044
8,-0.066
9,-0.025
10,-0.085